1.
First-principles (GGA-PBE) data for crystalline Np2BeGePt6 at its relaxed geometry, as listed in Alexandria via LeMat-Bulk.

a b c (Å): 6.4440 6.4440 6.4440
angles (deg): 60.00 60.00 90.00
Closest atoms and distances in Å follow each position.
Positions (direct):
Pt (0.7361, 0.2639, 0.0000)  1 Be 2.15, 1 Ge 2.40
Pt (0.2639, 0.7361, 0.0000)  1 Be 2.15, 1 Ge 2.40
Pt (0.2639, 0.2639, 0.4722)  1 Be 2.15, 1 Ge 2.40
Pt (0.2639, 0.2639, 0.0000)  1 Be 2.15, 1 Ge 2.41
Pt (0.7361, 0.7361, 0.5278)  1 Be 2.15, 1 Ge 2.40
Pt (0.7361, 0.7361, 0.0000)  1 Be 2.15, 1 Ge 2.41
Be (0.5000, 0.5000, 0.0000)  6 Pt 2.15
Np (0.2500, 0.7500, 0.5000)  12 Pt 3.22
Np (0.7500, 0.2500, 0.5000)  12 Pt 3.22
Ge (0.0000, 0.0000, 0.0000)  6 Pt 2.40-2.41

Values from the calculation:
As for the formation energy: -241 meV/atom. Its crystal system is cubic. The final energy comes out at -72.88 eV/cell.

---

2.
First-principles (GGA-PBE) data for crystalline Np2Be4Ge3Rh at its relaxed geometry, as listed in Alexandria via LeMat-Bulk.

a b c (Å): 3.9353 3.9353 9.7018
angles (deg): 90.00 90.00 90.00
Closest atoms and distances in Å follow each position.
Positions (direct):
Np (0.5000, 0.0000, 0.2504)  6 Ge 3.01-3.12, 8 Be 3.02-3.13, 2 Rh 3.12
Np (0.0000, 0.5000, 0.7496)  6 Ge 3.01-3.12, 8 Be 3.02-3.13, 2 Rh 3.12
Be (0.5000, 0.5000, 0.0000)  4 Ge 2.35
Be (0.5000, 0.0000, 0.6297)  3 Ge 2.30-2.34, 2 Rh 2.34
Be (0.0000, 0.5000, 0.3703)  3 Ge 2.30-2.34, 2 Rh 2.34
Be (0.0000, 0.0000, 0.0000)  4 Ge 2.35
Ge (0.0000, 0.5000, 0.1330)  5 Be 2.30-2.35
Ge (0.0000, 0.0000, 0.5000)  4 Be 2.34
Ge (0.5000, 0.0000, 0.8670)  5 Be 2.30-2.35
Rh (0.5000, 0.5000, 0.5000)  4 Be 2.34

Values from the calculation:
As for the formation energy: -208 meV/atom. Its crystal system is tetragonal. The final energy comes out at -64.07 eV/cell.

---

3.
First-principles (GGA-PBE) data for crystalline Np2Be4Ge3Ru at its relaxed geometry, as listed in Alexandria via LeMat-Bulk.

a b c (Å): 3.9445 3.9445 9.6231
angles (deg): 90.00 90.00 90.00
Closest atoms and distances in Å follow each position.
Positions (direct):
Ge (0.0000, 0.0000, 0.5000)  4 Be 2.33
Ge (0.0000, 0.5000, 0.1334)  5 Be 2.29-2.35
Ge (0.5000, 0.0000, 0.8666)  5 Be 2.29-2.35
Np (0.5000, 0.0000, 0.2562)  8 Be 3.00-3.16, 6 Ge 3.03-3.07, 2 Ru 3.07
Np (0.0000, 0.5000, 0.7438)  8 Be 3.00-3.16, 6 Ge 3.03-3.07, 2 Ru 3.07
Be (0.0000, 0.0000, 0.0000)  4 Ge 2.35
Be (0.5000, 0.0000, 0.6286)  3 Ge 2.29-2.33, 2 Ru 2.33
Be (0.5000, 0.5000, 0.0000)  4 Ge 2.35
Be (0.0000, 0.5000, 0.3714)  3 Ge 2.29-2.33, 2 Ru 2.33
Ru (0.5000, 0.5000, 0.5000)  4 Be 2.33

Values from the calculation:
As for the formation energy: -140 meV/atom. Its crystal system is tetragonal. The final energy comes out at -65.31 eV/cell.

---

4.
First-principles (GGA-PBE) data for crystalline Be3GeO at its relaxed geometry, as listed in Alexandria via LeMat-Bulk.

a b c (Å): 3.6364 3.6364 3.6364
angles (deg): 90.00 90.00 90.00
Closest atoms and distances in Å follow each position.
Positions (direct):
Be (0.5000, 0.0000, 0.0000)  2 O 1.82
Be (0.0000, 0.5000, 0.0000)  2 O 1.82
Be (0.0000, 0.0000, 0.5000)  2 O 1.82
Ge (0.5000, 0.5000, 0.5000)  12 Be 2.57
O (0.0000, 0.0000, 0.0000)  6 Be 1.82

Values from the calculation:
Its crystal system is cubic. The final energy comes out at -22.38 eV/cell. For the energy relative to the elements, uncorrected, the calculation gives -0.326 eV/atom.

---

5.
First-principles (GGA-PBE) data for crystalline Be3GeO at its relaxed geometry, as listed in Alexandria via LeMat-Bulk.

a b c (Å): 4.1356 4.1356 4.1356
angles (deg): 90.00 90.00 90.00
Closest atoms and distances in Å follow each position.
Positions (direct):
Be (0.0000, 0.5000, 0.0000)  2 Ge 2.07
Be (0.5000, 0.0000, 0.0000)  2 Ge 2.07
Be (0.0000, 0.0000, 0.5000)  2 Ge 2.07
O (0.5000, 0.5000, 0.5000)  12 Be 2.92
Ge (0.0000, 0.0000, 0.0000)  6 Be 2.07

Values from the calculation:
Its crystal system is cubic. The final energy comes out at -16.77 eV/cell. For the energy relative to the elements, uncorrected, the calculation gives 0.798 eV/atom.

---

6.
First-principles (GGA-PBE) data for crystalline BeGe2O at its relaxed geometry, as listed in Alexandria via LeMat-Bulk.

a b c (Å): 4.1986 4.1986 4.1986
angles (deg): 60.00 60.00 60.00
Closest atoms and distances in Å follow each position.
Positions (direct):
O (0.5000, 0.5000, 0.5000)  8 Ge 2.57
Be (0.0000, 0.0000, 0.0000)  8 Ge 2.57
Ge (0.7500, 0.7500, 0.7500)  4 O 2.57, 4 Be 2.57
Ge (0.2500, 0.2500, 0.2500)  4 Be 2.57, 4 O 2.57

Values from the calculation:
Its crystal system is cubic. The final energy comes out at -16.35 eV/cell. For the energy relative to the elements, uncorrected, the calculation gives 0.393 eV/atom.

---

7.
First-principles (GGA-PBE) data for crystalline Be2GeO4 at its relaxed geometry, as listed in Alexandria via LeMat-Bulk.

a b c (Å): 3.8267 3.8267 5.2139
angles (deg): 68.47 68.47 90.00
Closest atoms and distances in Å follow each position.
Positions (direct):
O (0.1996, 0.1996, 0.6009)  1 Be 1.41
O (0.0000, 0.5000, 0.0000)  2 Ge 1.91
O (0.5000, 0.0000, 0.0000)  2 Ge 1.91
O (0.8004, 0.8004, 0.3991)  1 Be 1.41
Be (0.3581, 0.3581, 0.2837)  1 O 1.41
Be (0.6419, 0.6419, 0.7163)  1 O 1.41
Ge (0.0000, 0.0000, 0.0000)  6 O 1.78-1.91

Values from the calculation:
Its crystal system is tetragonal. The final energy comes out at -41.27 eV/cell. For the energy relative to the elements, uncorrected, the calculation gives -1.338 eV/atom.

---

8.
First-principles (GGA-PBE) data for crystalline BeGeO3 at its relaxed geometry, as listed in Alexandria via LeMat-Bulk.

a b c (Å): 3.4566 3.4566 3.4566
angles (deg): 90.00 90.00 90.00
Closest atoms and distances in Å follow each position.
Positions (direct):
O (0.0000, 0.5000, 0.0000)  2 Be 1.73
O (0.0000, 0.0000, 0.5000)  2 Be 1.73
O (0.5000, 0.0000, 0.0000)  2 Be 1.73
Be (0.0000, 0.0000, 0.0000)  6 O 1.73
Ge (0.5000, 0.5000, 0.5000)  12 O 2.44

Values from the calculation:
Its crystal system is cubic. The final energy comes out at -27.02 eV/cell. For the energy relative to the elements, uncorrected, the calculation gives -0.760 eV/atom.

---

9.
First-principles (GGA-PBE) data for crystalline BeGe2O at its relaxed geometry, as listed in Alexandria via LeMat-Bulk.

a b c (Å): 4.9183 4.9183 6.1845
angles (deg): 66.57 66.57 90.00
Closest atoms and distances in Å follow each position.
Positions (direct):
Be (0.5000, 0.5000, 0.0000)  4 Ge 2.19
Be (0.2500, 0.7500, 0.5000)  4 Ge 2.19
O (0.0000, 0.0000, 0.0000)  4 Ge 2.13
O (0.7500, 0.2500, 0.5000)  4 Ge 2.13
Ge (0.1144, 0.6250, 0.2500)  2 O 2.13, 2 Be 2.19
Ge (0.8750, 0.8856, 0.7500)  2 O 2.13, 2 Be 2.19
Ge (0.6356, 0.1250, 0.2500)  2 O 2.13, 2 Be 2.19
Ge (0.3750, 0.3644, 0.7500)  2 O 2.13, 2 Be 2.19

Values from the calculation:
Its crystal system is tetragonal. The final energy comes out at -37.06 eV/cell. For the energy relative to the elements, uncorrected, the calculation gives -0.153 eV/atom.

---

10.
First-principles (GGA-PBE) data for crystalline Be2GeO4 at its relaxed geometry, as listed in Alexandria via LeMat-Bulk.

a b c (Å): 3.9281 3.9281 4.1558
angles (deg): 90.00 90.00 90.00
Closest atoms and distances in Å follow each position.
Positions (direct):
Be (0.0000, 0.5000, 0.5000)  4 O 1.67
Be (0.5000, 0.0000, 0.5000)  4 O 1.67
O (0.7538, 0.2462, 0.7231)  2 Be 1.67, 1 Ge 1.79
O (0.7538, 0.7538, 0.2769)  2 Be 1.67, 1 Ge 1.79
O (0.2462, 0.2462, 0.2769)  2 Be 1.67, 1 Ge 1.79
O (0.2462, 0.7538, 0.7231)  2 Be 1.67, 1 Ge 1.79
Ge (0.0000, 0.0000, 0.0000)  4 O 1.79

Values from the calculation:
Its crystal system is tetragonal. The final energy comes out at -47.09 eV/cell. For the energy relative to the elements, uncorrected, the calculation gives -2.170 eV/atom.

---

11.
First-principles (GGA-PBE) data for crystalline BeGeO at its relaxed geometry, as listed in Alexandria via LeMat-Bulk.

a b c (Å): 3.0058 2.9977 11.3896
angles (deg): 90.00 104.04 90.00
Closest atoms and distances in Å follow each position.
Positions (direct):
Be (0.2499, 0.2500, 0.9997)  4 O 1.64
Be (0.7501, 0.7500, 0.0003)  4 O 1.64
Ge (0.1847, 0.2500, 0.4090)  8 Ge 2.87-3.01
Ge (0.8153, 0.7500, 0.5910)  8 Ge 2.87-3.01
O (0.6951, 0.2500, 0.9402)  4 Be 1.64
O (0.3049, 0.7500, 0.0598)  4 Be 1.64

Values from the calculation:
Its crystal system is monoclinic. The final energy comes out at -35.24 eV/cell. For the energy relative to the elements, uncorrected, the calculation gives -1.439 eV/atom.

---

12.
First-principles (GGA-PBE) data for crystalline Be2GeO4 at its relaxed geometry, as listed in Alexandria via LeMat-Bulk.

a b c (Å): 7.9530 7.9530 7.9530
angles (deg): 108.00 108.00 108.00
Closest atoms and distances in Å follow each position.
Positions (direct):
O (0.8648, 0.1939, 0.1635)  2 Be 1.64-1.65, 1 Ge 1.77
O (0.8061, 0.8365, 0.1352)  2 Be 1.64-1.65, 1 Ge 1.77
O (0.5443, 0.8754, 0.8305)  2 Be 1.64-1.65, 1 Ge 1.78
O (0.2480, 0.9110, 0.5912)  2 Be 1.65, 1 Ge 1.77
O (0.1246, 0.1695, 0.4557)  2 Be 1.63-1.65, 1 Ge 1.78
O (0.4805, 0.7880, 0.4560)  2 Be 1.67, 1 Ge 1.78
O (0.1635, 0.8648, 0.1939)  2 Be 1.64-1.65, 1 Ge 1.77
O (0.1352, 0.8061, 0.8365)  2 Be 1.64-1.65, 1 Ge 1.77
O (0.7880, 0.4560, 0.4805)  2 Be 1.67, 1 Ge 1.78
O (0.7520, 0.0890, 0.4088)  2 Be 1.65, 1 Ge 1.77
O (0.4088, 0.7520, 0.0890)  2 Be 1.65, 1 Ge 1.77
O (0.9110, 0.5912, 0.2480)  2 Be 1.65, 1 Ge 1.77
O (0.1695, 0.4557, 0.1246)  2 Be 1.63-1.65, 1 Ge 1.78
O (0.8365, 0.1352, 0.8061)  2 Be 1.64-1.65, 1 Ge 1.77
O (0.0890, 0.4088, 0.7520)  2 Be 1.65, 1 Ge 1.77
O (0.5195, 0.2120, 0.5440)  2 Be 1.67, 1 Ge 1.78
O (0.4557, 0.1246, 0.1695)  2 Be 1.64-1.65, 1 Ge 1.78
O (0.1939, 0.1635, 0.8648)  2 Be 1.64-1.65, 1 Ge 1.77
O (0.5912, 0.2480, 0.9110)  2 Be 1.65, 1 Ge 1.77
O (0.2120, 0.5440, 0.5195)  2 Be 1.67, 1 Ge 1.78
O (0.8754, 0.8305, 0.5443)  2 Be 1.64-1.65, 1 Ge 1.78
O (0.8305, 0.5443, 0.8754)  2 Be 1.63-1.65, 1 Ge 1.78
O (0.4560, 0.4805, 0.7880)  2 Be 1.67, 1 Ge 1.78
O (0.5440, 0.5195, 0.2120)  2 Be 1.67, 1 Ge 1.78
Be (0.3954, 0.6284, 0.2213)  4 O 1.63-1.67
Be (0.2928, 0.8905, 0.0698)  4 O 1.64-1.65
Be (0.9302, 0.7072, 0.1095)  4 O 1.64-1.65
Be (0.6284, 0.2213, 0.3954)  4 O 1.64-1.67
Be (0.0698, 0.2928, 0.8905)  4 O 1.64-1.65
Be (0.6046, 0.3716, 0.7787)  4 O 1.63-1.67
Be (0.7072, 0.1095, 0.9302)  4 O 1.64-1.65
Be (0.8905, 0.0698, 0.2928)  4 O 1.64-1.65
Be (0.2213, 0.3954, 0.6284)  4 O 1.63-1.67
Be (0.3716, 0.7787, 0.6046)  4 O 1.64-1.67
Be (0.7787, 0.6046, 0.3716)  4 O 1.64-1.67
Be (0.1095, 0.9302, 0.7072)  4 O 1.64-1.65
Ge (0.5553, 0.7320, 0.9626)  4 O 1.77-1.78
Ge (0.0374, 0.4447, 0.2680)  4 O 1.77-1.78
Ge (0.4447, 0.2680, 0.0374)  4 O 1.77-1.78
Ge (0.9626, 0.5553, 0.7320)  4 O 1.77-1.78
Ge (0.7320, 0.9626, 0.5553)  4 O 1.77-1.78
Ge (0.2680, 0.0374, 0.4447)  4 O 1.77-1.78

Values from the calculation:
Its crystal system is trigonal. The final energy comes out at -288.03 eV/cell. For the energy relative to the elements, uncorrected, the calculation gives -2.300 eV/atom.

---

Question: What is the final energy in the second record?
Answer: -64.07 eV/cell

---

Question: Which value of final energy does entry 1 give?
Answer: -72.88 eV/cell

---

Question: Look up the final energy of the ninth one.
Answer: -37.06 eV/cell

---

Question: Which value of final energy does entry 5 give?
Answer: -16.77 eV/cell